No. 1
Entry from Alexandria: an optimized crystal structure of DyZrBe4 (PBE).

Structure (extended XYZ):
```
6
Lattice="0.0000 3.4646 3.4646 3.4646 0.0000 3.4646 3.4646 3.4646 0.0000" Properties=species:S:1:pos:R:3 pbc="T T T"
Dy 0.0000 0.0000 0.0000
Zr 1.7323 1.7323 1.7323
Be 4.3008 2.6284 2.6284
Be 2.6284 4.3008 2.6284
Be 2.6284 2.6284 4.3008
Be 4.3008 4.3008 4.3008
```

Output
Final energy, eV/atom: -4.65

---

No. 2
Entry from Alexandria: an optimized crystal structure of DyZrBe (PBE).

Structure (extended XYZ):
```
6
Lattice="3.2807 0.0000 0.0000 0.0000 3.2807 0.0000 0.0000 0.0000 11.6162" Properties=species:S:1:pos:R:3 pbc="T T T"
Dy 0.0000 0.0000 0.0000
Dy 1.6403 1.6403 5.8081
Zr 0.0000 0.0000 3.3739
Zr 1.6403 1.6403 9.1820
Be 0.0000 0.0000 7.7161
Be 1.6403 1.6403 1.9080
```

Output
Final energy, eV/atom: -5.53

---

No. 3
Entry from Alexandria: an optimized crystal structure of Dy2ZrBe (PBE).

Structure (extended XYZ):
```
4
Lattice="3.3690 0.0000 0.0000 0.0000 3.3690 0.0000 0.0000 0.0000 8.1987" Properties=species:S:1:pos:R:3 pbc="T T T"
Dy 0.0000 0.0000 1.7345
Dy 0.0000 0.0000 6.4642
Zr 1.6845 1.6845 4.0993
Be 1.6845 1.6845 0.0000
```

Output
Final energy, eV/atom: -5.26

---

No. 4
Entry from Alexandria: an optimized crystal structure of ErBe (PBE).

Structure (extended XYZ):
```
2
Lattice="3.3741 0.0000 0.0000 0.0000 3.3741 0.0000 0.0000 0.0000 3.3741" Properties=species:S:1:pos:R:3 pbc="T T T"
Er 0.0000 0.0000 0.0000
Be 1.6870 1.6870 1.6870
```

Output
Energy above the lowest structure with this stoichiometry, eV/atom: 0.007

---

No. 5
Entry from Alexandria: an optimized crystal structure of Er2Be17 (PBE).

Structure (extended XYZ):
```
19
Lattice="3.8431 2.2188 3.7338 -3.8431 2.2188 3.7338 0.0000 -4.4376 3.7338" Properties=species:S:1:pos:R:3 pbc="T T T"
Er 0.0000 0.0000 1.8033
Er 0.0000 0.0000 9.3980
Be -1.9216 -1.1094 3.7338
Be 0.0000 -2.1994 3.6589
Be -1.9047 1.0997 3.6589
Be -1.0768 -1.8651 5.6007
Be -2.1536 0.0000 5.6007
Be -1.9047 -1.0997 7.5424
Be 0.0000 0.0000 4.5330
Be -1.9215 1.1094 7.4675
Be 1.0768 -1.8651 5.6007
Be 0.0000 2.2188 3.7338
Be -1.0768 1.8651 5.6007
Be 0.0000 0.0000 6.6683
Be 1.9047 1.0997 3.6589
Be 2.1536 0.0000 5.6007
Be 1.0768 1.8651 5.6007
Be 1.9047 -1.0997 7.5424
Be 0.0000 2.1994 7.5424
```

Output
Final energy, eV/atom: -3.97

---

No. 6
Entry from Alexandria: an optimized crystal structure of ErBe4 (PBE).

Structure (extended XYZ):
```
5
Lattice="4.9551 0.0000 0.0000 0.0000 4.9551 0.0000 0.0000 0.0000 4.9551" Properties=species:S:1:pos:R:3 pbc="T T T"
Er 0.0000 0.0000 0.0000
Be 0.0000 0.0000 2.4776
Be 0.0000 2.4776 0.0000
Be 2.4776 0.0000 0.0000
Be 2.4776 2.4776 2.4776
```

Output
Final energy, eV/atom: -1.57

---

No. 7
Entry from Alexandria: an optimized crystal structure of ErBe (PBE).

Structure (extended XYZ):
```
4
Lattice="3.4951 0.0000 0.0000 0.0000 4.0023 0.0000 -1.7388 0.0000 5.6653" Properties=species:S:1:pos:R:3 pbc="T T T"
Er 0.0022 1.0006 1.6579
Er 1.7542 3.0017 4.0073
Be 0.0065 1.0006 5.1018
Be 1.7498 3.0017 0.5635
```

Output
Energy above the lowest structure with this stoichiometry, eV/atom: 0.000

---

No. 8
Entry from Alexandria: an optimized crystal structure of EuEr2Be (PBE).

Structure (extended XYZ):
```
12
Lattice="3.5312 0.0000 0.0000 -1.7656 3.0581 0.0000 0.0000 0.0000 32.2319" Properties=species:S:1:pos:R:3 pbc="T T T"
Eu 0.0000 0.0000 0.0000
Eu 0.0000 2.0387 21.4879
Eu 1.7656 1.0194 10.7439
Er 0.0000 0.0000 3.4938
Er 0.0000 0.0000 28.7380
Er 0.0000 2.0387 17.9941
Er 0.0000 2.0387 24.9817
Er 1.7656 1.0194 7.2501
Er 1.7656 1.0194 14.2378
Be 0.0000 0.0000 16.1159
Be 0.0000 2.0387 5.3720
Be 1.7656 1.0194 26.8599
```

Output
Energy above the lowest structure with this stoichiometry, eV/atom: 0.236

---

No. 9
Entry from Alexandria: an optimized crystal structure of EuEr2Be (PBE).

Structure (extended XYZ):
```
4
Lattice="3.4651 0.0000 0.0000 0.0000 3.4651 0.0000 0.0000 0.0000 8.9416" Properties=species:S:1:pos:R:3 pbc="T T T"
Eu 0.0000 0.0000 0.0000
Er 1.7326 1.7326 2.8738
Er 1.7326 1.7326 6.0678
Be 0.0000 0.0000 4.4708
```

Output
Energy above the lowest structure with this stoichiometry, eV/atom: 0.000

---

No. 10
Entry from Alexandria: an optimized crystal structure of ErBe2F8 (PBE).

Structure (extended XYZ):
```
11
Lattice="4.9555 -2.2590 0.0000 4.9555 2.2590 0.0000 -2.1992 0.0000 5.3544" Properties=species:S:1:pos:R:3 pbc="T T T"
Er 0.0000 0.0000 0.0000
Be 0.5905 0.0000 3.6191
Be 7.1213 0.0000 1.7353
F 3.2395 1.1814 1.2081
F 0.7580 0.0000 2.0953
F 4.4723 1.1814 4.1463
F 1.8932 0.0000 4.4282
F 5.8186 0.0000 0.9262
F 3.2395 -1.1814 1.2081
F 6.9538 0.0000 3.2591
F 4.4723 -1.1814 4.1463
```

Output
ΔE_f (raw), meV/atom: -3105

---

No. 11
Entry from Alexandria: an optimized crystal structure of Er2BeF8 (PBE).

Structure (extended XYZ):
```
11
Lattice="4.4612 -3.4662 0.0000 4.4612 3.4662 0.0000 -1.3771 0.0000 4.2206" Properties=species:S:1:pos:R:3 pbc="T T T"
Er 1.1291 0.0000 1.5506
Er 6.4161 0.0000 2.6700
Be 4.4612 0.0000 0.0000
F -0.3394 0.0000 3.3718
F 2.2400 1.3006 3.0816
F 3.1554 0.0000 0.8771
F 5.3052 1.3006 1.1390
F 2.2400 -1.3006 3.0816
F 4.3898 0.0000 3.3435
F 5.3052 -1.3006 1.1390
F 7.8847 0.0000 0.8489
```

Output
ΔE_f (raw), meV/atom: -3828

---

No. 12
Entry from Alexandria: an optimized crystal structure of KErBeF6 (PBE).

Structure (extended XYZ):
```
18
Lattice="6.4129 0.0000 0.0000 0.0000 5.8105 0.0000 -2.7968 0.0000 6.5256" Properties=species:S:1:pos:R:3 pbc="T T T"
K -0.1042 1.4526 1.3241
K 3.7202 4.3579 5.2015
Er 0.2035 1.4526 5.3683
Er 3.4126 4.3579 1.1573
Be 0.1907 4.3579 3.0162
Be 3.4254 1.4526 3.5094
F -0.6997 4.3579 1.7254
F -0.1443 3.0948 3.8790
F -0.1443 5.6209 3.8790
F 1.9645 2.9160 0.2136
F 1.9645 5.7997 0.2136
F 1.6827 4.3579 2.6252
F 1.9333 1.4526 3.9004
F 1.6516 0.0108 6.3119
F 1.6516 2.8945 6.3119
F 3.7604 0.1896 2.6465
F 3.7604 2.7157 2.6465
F 4.3158 1.4526 4.8002
```

Output
ΔE_f (raw), meV/atom: -3625

---

Calculated V (Å³ per atom), listed in the same order as above: 13.86 20.84 23.26 19.21 10.05 24.33 19.81 29.01 26.84 10.90 11.87 13.51